Below is crystalline CaMg2Rh at its relaxed geometry, with properties calculated at the PBE level.

Cell lengths 4.265, 8.039, 5.652 Å; angles 90.00, 111.99, 90.00 degrees
Atoms (fractional coordinates):
1 Ca 0.057 0.250 0.113
2 Ca 0.943 0.750 0.887
3 Mg 0.340 0.060 0.680
4 Mg 0.340 0.440 0.680
5 Mg 0.660 0.560 0.320
6 Mg 0.660 0.940 0.320
7 Rh 0.231 0.750 0.464
8 Rh 0.769 0.250 0.536

energy relative to the elements = -0.390 eV/atom
symmetry = P2_1/m (11)